Dy2YTl2Hg2: relaxed, GGA-PBE.

Cell: 4.987 4.987 9.321 Å, 74.48 74.48 60.00°
Fractional coordinates of all 7 atoms:
Tl (0.273, 0.273, 0.180)
Tl (0.727, 0.727, 0.820)
Hg (0.435, 0.435, 0.695)
Hg (0.565, 0.565, 0.305)
Dy (0.133, 0.133, 0.602)
Dy (0.867, 0.867, 0.398)
Y (0.000, 0.000, 0.000)

## Properties
As for the energy of formation from the pure elements: -184 meV per atom. The symmetry is R-3m. The crystal system is trigonal.

BaNa4Pb4: relaxed, GGA-PBE.

Cell: 7.449 7.449 10.833 Å, 90.00 90.00 90.00°
Fractional coordinates of all 18 atoms:
Pb (0.000, 0.294, 0.710)
Pb (0.500, 0.206, 0.790)
Pb (0.000, 0.706, 0.710)
Pb (0.500, 0.794, 0.790)
Pb (0.794, 0.500, 0.210)
Pb (0.706, 0.000, 0.290)
Pb (0.294, 0.000, 0.290)
Pb (0.206, 0.500, 0.210)
Ba (0.000, 0.000, 0.000)
Ba (0.500, 0.500, 0.500)
Na (0.235, 0.500, 0.913)
Na (0.500, 0.235, 0.087)
Na (0.265, 0.000, 0.587)
Na (0.000, 0.735, 0.413)
Na (0.500, 0.765, 0.087)
Na (0.735, 0.000, 0.587)
Na (0.765, 0.500, 0.913)
Na (0.000, 0.265, 0.413)

## Properties
As for the energy of formation from the pure elements: -165 meV per atom. The symmetry is P4_2/nmc. The crystal system is tetragonal.

Li3DyCu8: relaxed, GGA-PBE.

Cell: 4.991 4.991 8.606 Å, 73.14 73.14 60.00°
Fractional coordinates of all 12 atoms:
Cu (0.435, 0.938, 0.690)
Cu (0.938, 0.938, 0.690)
Cu (0.187, 0.187, 0.438)
Cu (0.440, 0.440, 0.180)
Cu (0.440, 0.940, 0.180)
Cu (0.940, 0.440, 0.180)
Cu (0.938, 0.435, 0.690)
Cu (0.688, 0.688, 0.935)
Dy (0.875, 0.875, 0.374)
Li (0.374, 0.374, 0.879)
Li (0.006, 0.006, 0.981)
Li (0.489, 0.489, 0.534)

## Properties
As for the energy of formation from the pure elements: -121 meV per atom. The symmetry is R3m. The crystal system is trigonal.

Ca2PdO: relaxed, GGA-PBE.

Cell: 3.111 3.111 7.021 Å, 90.00 90.00 90.00°
Fractional coordinates of all 4 atoms:
Ca (0.000, 0.000, 0.206)
Ca (0.000, 0.000, 0.794)
Pd (0.500, 0.500, 0.500)
O (0.500, 0.500, 0.000)

## Properties
The symmetry is P4/mmm. The crystal system is tetragonal. The raw formation energy is -5.7 eV/f.u.

Np4HRh12: relaxed, GGA-PBE.

Cell: 6.998 6.998 6.998 Å, 109.47 109.47 109.47°
Each line ends with the local moment (μB).
Fractional coordinates of all 17 atoms:
Rh (0.500, 0.750, 0.250)  -0.45
Rh (0.750, 0.500, 0.250)  -0.45
Rh (0.748, 0.748, 0.000)  -0.41
Rh (0.750, 0.250, 0.500)  -0.45
Rh (0.250, 0.750, 0.500)  -0.45
Rh (0.252, 0.252, 0.000)  -0.41
Rh (0.252, 0.000, 0.252)  -0.41
Rh (0.000, 0.748, 0.748)  -0.41
Rh (0.250, 0.500, 0.750)  -0.45
Rh (0.500, 0.250, 0.750)  -0.45
Rh (0.000, 0.252, 0.252)  -0.41
Rh (0.748, 0.000, 0.748)  -0.41
Np (0.000, 0.000, 0.500)  2.76
Np (0.000, 0.500, 0.000)  2.76
Np (0.500, 0.500, 0.500)  2.76
Np (0.500, 0.000, 0.000)  2.76
H (0.000, 0.000, 0.000)  0.00

## Properties
The symmetry is Im-3m. The crystal system is cubic.

Tl2MoRu: relaxed, GGA-PBE.

Cell: 5.269 5.269 5.269 Å, 133.60 133.60 67.71°
Each line ends with the local moment (μB).
Fractional coordinates of all 4 atoms:
Ru (0.750, 0.250, 0.500)  -0.01
Mo (0.500, 0.500, 0.000)  0.43
Tl (0.250, 0.750, 0.500)  0.00
Tl (0.000, 0.000, 0.000)  0.00

## Properties
As for the energy of formation from the pure elements: 859 meV per atom. The symmetry is I-4m2. The crystal system is tetragonal. The value obtained for the relative energy among the computed polymorphs is 525 meV/atom.

HoErTm2P4: relaxed, GGA-PBE.

Cell: 3.964 6.863 6.862 Å, 109.47 90.00 90.00°
Fractional coordinates of all 8 atoms:
Ho (0.500, 0.500, 0.000)
P (0.500, 0.250, 0.252)
P (0.000, 0.751, 0.252)
P (0.500, 0.750, 0.748)
P (0.000, 0.249, 0.748)
Tm (0.500, 0.000, 0.500)
Tm (0.000, 0.500, 0.500)
Er (0.000, 0.000, 0.000)

## Properties
As for the energy of formation from the pure elements: -1610 meV per atom. The symmetry is P2/m. The crystal system is monoclinic.

TaZnRe2: relaxed, GGA-PBE.

Cell: 4.436 2.777 5.141 Å, 79.42 90.00 90.00°
Fractional coordinates of all 4 atoms:
Ta (0.000, 0.452, 0.522)
Zn (0.500, 0.879, 0.734)
Re (0.500, 0.259, 0.218)
Re (0.000, 0.910, 0.025)

## Properties
As for the energy of formation from the pure elements: 62 meV per atom. The symmetry is Pm. The crystal system is monoclinic.

La2PrY2: relaxed, GGA-PBE.

Cell: 5.808 5.808 12.302 Å, 90.00 90.00 120.00°
Fractional coordinates of all 10 atoms:
La (0.333, 0.667, 0.601)
La (0.333, 0.667, 0.899)
La (0.667, 0.333, 0.101)
La (0.667, 0.333, 0.399)
Y (0.000, 0.000, 0.000)
Y (0.000, 0.000, 0.500)
Y (0.333, 0.667, 0.250)
Y (0.667, 0.333, 0.750)
Pr (0.000, 0.000, 0.250)
Pr (0.000, 0.000, 0.750)

## Properties
As for the energy of formation from the pure elements: 199 meV per atom. The symmetry is P6_3/mmc. The crystal system is hexagonal. The value obtained for the relative energy among the computed polymorphs is 0 meV/atom.

Na2GaHPb: relaxed, GGA-PBE.

Cell: 4.638 4.638 4.864 Å, 90.00 90.00 90.00°
Fractional coordinates of all 5 atoms:
Na (0.500, 0.000, 0.000)
Na (0.000, 0.500, 0.000)
H (0.000, 0.000, 0.000)
Pb (0.000, 0.000, 0.500)
Ga (0.500, 0.500, 0.500)

## Properties
The symmetry is P4/mmm. The crystal system is tetragonal. The value obtained for the relative energy among the computed polymorphs is 42 meV/atom.

Ba3ErTm3Se8: relaxed, GGA-PBE.

Cell: 8.337 8.337 8.931 Å, 117.82 90.00 120.00°
Fractional coordinates of all 15 atoms:
Ba (0.000, 0.000, 0.000)
Ba (0.000, 0.500, 0.000)
Ba (0.500, 0.500, 0.000)
Tm (0.000, 0.500, 0.500)
Tm (0.500, 0.000, 0.500)
Tm (0.500, 0.500, 0.500)
Se (0.238, 0.476, 0.708)
Se (0.736, 0.473, 0.709)
Se (0.238, 0.970, 0.708)
Se (0.264, 0.527, 0.291)
Se (0.762, 0.030, 0.292)
Se (0.268, 0.030, 0.292)
Se (0.732, 0.970, 0.708)
Se (0.762, 0.524, 0.292)
Er (0.000, 0.000, 0.500)

## Properties
The symmetry is R-3m. The crystal system is trigonal. The raw formation energy is -28.5 eV/f.u.

Tb4TlIn2: relaxed, GGA-PBE.

Cell: 7.373 6.652 9.512 Å, 90.00 116.17 90.00°
Fractional coordinates of all 14 atoms:
Tb (0.963, 0.250, 0.554)
Tb (0.439, 0.994, 0.775)
Tb (0.981, 0.250, 0.171)
Tb (0.561, 0.006, 0.225)
Tb (0.019, 0.750, 0.829)
Tb (0.037, 0.750, 0.446)
Tb (0.561, 0.494, 0.225)
Tb (0.439, 0.506, 0.775)
In (0.588, 0.750, 0.534)
In (0.412, 0.250, 0.466)
In (0.773, 0.750, 0.057)
In (0.227, 0.250, 0.943)
Tl (0.206, 0.750, 0.196)
Tl (0.794, 0.250, 0.804)

## Properties
As for the energy of formation from the pure elements: -183 meV per atom. The symmetry is P2_1/m. The crystal system is monoclinic. The value obtained for the relative energy among the computed polymorphs is 93 meV/atom.

no.,final energy (eV per atom)
1,-3.18
2,-2.61
3,-3.71
4,-4.97
5,-8.82
6,-5.35
7,-6.58
8,-9.44
9,-5.31
10,-2.51
11,-5.34
12,-3.95